Below is crystalline ScBeNiF2 at its relaxed geometry, with properties calculated at the GGA+U level.

Results
For the density of states at the Fermi level, the calculation gives 1.77 states/eV/cell. As for the electronic total energy: -4.314 eV/atom.

a b c (Å): 3.3543 3.3543 8.1815
angles (deg): 90.00 90.00 90.00
Space group P4/mmm (No. 123)
Inequivalent atoms, fractional coordinates:
Sc  0.0000  0.0000  0.0000 x1
Be  0.0000  0.0000  0.5000 x1
Ni  0.5000  0.5000  0.0000 x1
F  0.0000  0.5000  0.5000 x2